# 1
## Ba2NaLaH (PBE)

Data for crystalline Ba2NaLaH at its relaxed geometry. Values from VASP.

Uncorrected energy: -13.53 eV per cell
N(E_F): 4.94 states/eV/cell

Geometry as Quantum ESPRESSO input:
```
&SYSTEM
  ibrav = 0, nat = 5, ntyp = 4
/
ATOMIC_SPECIES
Ba 137.33 Ba.upf
Na 22.99 Na.upf
La 138.91 La.upf
H 1.01 H.upf
ATOMIC_POSITIONS crystal
Ba 0.0000 0.5000 0.0000
Ba 0.5000 0.0000 0.0000
Na 0.5000 0.5000 0.5000
La 0.0000 0.0000 0.5000
H 0.0000 0.0000 0.0000
CELL_PARAMETERS angstrom
-4.9523 -3.9069 -1.2838
-0.9725 -0.8399 6.3076
-2.9060 3.6702 0.0407
```

---

# 2
## CaY2Pu (PBE)

Data for crystalline CaY2Pu at its relaxed geometry. Values from VASP.

E_form: 15 kJ/mol of atoms
Energy above the most stable polymorph in this dataset: 0.010 eV/atom
N(E_F): 12.17 states/eV/cell

Geometry as Quantum ESPRESSO input:
```
&SYSTEM
  ibrav = 0, nat = 4, ntyp = 3
/
ATOMIC_SPECIES
Pu 244.00 Pu.upf
Y 88.91 Y.upf
Ca 40.08 Ca.upf
ATOMIC_POSITIONS crystal
Pu 0.6663 0.6663 0.0010
Y 0.2553 0.2553 0.2340
Y 0.0780 0.0780 0.7661
Ca 0.5004 0.5004 0.4989
CELL_PARAMETERS angstrom
-2.7239 2.3388 -0.0339
-2.4423 -0.0504 2.6313
4.7943 8.4419 7.0613
```

---

# 3
## P2Au (PBE)

Data for crystalline P2Au at its relaxed geometry. Values from VASP.

E_form: 8 kJ/mol of atoms
N(E_F): 3.06 states/eV/cell

Geometry as Quantum ESPRESSO input:
```
&SYSTEM
  ibrav = 0, nat = 6, ntyp = 2
/
ATOMIC_SPECIES
P 30.97 P.upf
Au 196.97 Au.upf
ATOMIC_POSITIONS crystal
P 0.5000 0.6840 0.8931
P 0.5000 0.3160 0.1069
P 0.0000 0.8160 0.3931
P 0.0000 0.1840 0.6069
Au 0.0000 0.0000 0.0000
Au 0.5000 0.5000 0.5000
CELL_PARAMETERS angstrom
-1.0108 -1.2579 3.6259
-3.1978 -2.9527 -1.9158
4.1281 -4.2588 -0.3266
```